{
  "formula": "Tb3Pm4Ho3",
  "functional": "PBE-GGA",
  "state": "relaxed",
  "lattice_angstrom": [[-1.2281, 3.4595, -0.9781], [-8.2784, -3.5944, -2.3192], [-3.0482, 1.3770, 8.6973]],
  "species": ["Pm", "Pm", "Pm", "Pm", "Tb", "Tb", "Tb", "Ho", "Ho", "Ho"],
  "fractional_positions": [[0.0000, 0.1301, 0.1306], [0.0000, 0.6300, 0.3700], [0.0000, 0.8694, 0.8699], [0.0000, 0.3701, 0.6299], [0.5000, 0.1689, 0.8311], [0.0000, 0.9992, 0.4989], [0.0000, 0.5011, 0.0008], [0.5000, 0.3312, 0.3310], [0.5000, 0.8310, 0.1690], [0.5000, 0.6690, 0.6688]],
  "dft_energy_ev_per_atom": -4.57,
  "density_g_cm3": 7.8,
  "formation_energy_ev_per_atom": 0.097,
  "magmom_total_mub_per_cell": 0.0,
  "spacegroup": "No. 38"
}